Record 1
A plane-wave DFT calculation with PBE was carried out for Pm6SnSe3S2 after structural relaxation.

Computed properties:
- D(E_F): 0.37 states/eV/atom
- Calculated density: 6.8 g/cm3
- Spin magnetization: 0.0 μB/cell
- Formation energy without anion corrections: -165 kJ/mol of atoms
- Raw total energy: -0.439 Ry per atom

Cell: 9.430 9.430 8.458 Å, 103.52 103.52 25.59°
Fractional coordinates of all 12 atoms:
Pm 0.006 0.006 0.261
Pm 0.328 0.328 0.427
Pm 0.330 0.330 0.898
Pm 0.670 0.670 0.102
Pm 0.672 0.672 0.573
Pm 0.994 0.994 0.739
Sn 0.500 0.500 0.000
Se 0.164 0.164 0.832
Se 0.500 0.500 0.500
Se 0.836 0.836 0.168
S 0.168 0.168 0.336
S 0.832 0.832 0.664



Record 2
A plane-wave DFT calculation with PBE was carried out for Pm6SnSe2S3 after structural relaxation.

Computed properties:
- D(E_F): 0.41 states/eV/atom
- Calculated density: 6.7 g/cm3
- Spin magnetization: 0.0 μB/cell
- Formation energy without anion corrections: -168 kJ/mol of atoms
- Raw total energy: -0.446 Ry per atom

Cell: 9.349 9.349 8.396 Å, 103.37 103.37 25.61°
Fractional coordinates of all 12 atoms:
Pm 0.002 0.002 0.234
Pm 0.328 0.328 0.428
Pm 0.339 0.339 0.906
Pm 0.661 0.661 0.094
Pm 0.672 0.672 0.572
Pm 0.998 0.998 0.766
Sn 0.500 0.500 0.500
Se 0.170 0.170 0.837
Se 0.830 0.830 0.163
S 0.166 0.166 0.330
S 0.500 0.500 0.000
S 0.834 0.834 0.670



Record 3
A plane-wave DFT calculation with PBE was carried out for Pm4SnSeS2 after structural relaxation.

Computed properties:
- D(E_F): 0.43 states/eV/atom
- Calculated density: 6.7 g/cm3
- Spin magnetization: 0.0 μB/cell
- Formation energy without anion corrections: -158 kJ/mol of atoms
- Raw total energy: -0.440 Ry per atom

Cell: 7.281 4.189 7.292 Å, 90.00 109.46 90.00°
Fractional coordinates of all 8 atoms:
Pm 0.238 0.000 0.230
Pm 0.253 0.500 0.767
Pm 0.747 0.500 0.233
Pm 0.762 0.000 0.770
Sn 0.500 0.500 0.500
Se 0.000 0.000 0.500
S 0.000 0.500 0.000
S 0.500 0.000 0.000



Record 4
A plane-wave DFT calculation with PBE was carried out for TbPmSeS after structural relaxation.

Computed properties:
- D(E_F): 0.23 states/eV/atom
- Calculated density: 7.2 g/cm3
- Spin magnetization: 0.0 μB/cell
- Formation energy without anion corrections: -184 kJ/mol of atoms
- Raw total energy: -0.453 Ry per atom

Cell: 3.964 3.964 21.122 Å, 90.00 90.00 120.00°
Fractional coordinates of all 12 atoms:
Tb 0.000 0.000 0.000
Tb 0.333 0.667 0.667
Tb 0.667 0.333 0.333
Pm 0.000 0.000 0.816
Pm 0.333 0.667 0.482
Pm 0.667 0.333 0.149
Se 0.000 0.000 0.243
Se 0.333 0.667 0.909
Se 0.667 0.333 0.576
S 0.000 0.000 0.407
S 0.333 0.667 0.073
S 0.667 0.333 0.740



Record 5
A plane-wave DFT calculation with PBE was carried out for Pm2TeSeS after structural relaxation.

Computed properties:
- D(E_F): 0.00 states/eV/atom
- Calculated density: 5.6 g/cm3
- Spin magnetization: 0.0 μB/cell
- Formation energy without anion corrections: -171 kJ/mol of atoms
- Raw total energy: -0.428 Ry per atom

Cell: 8.714 8.714 11.109 Å, 129.56 129.56 29.85°
Fractional coordinates of all 10 atoms:
Pm 0.100 0.100 0.360
Pm 0.337 0.337 0.936
Pm 0.663 0.663 0.064
Pm 0.900 0.900 0.640
Te 0.296 0.296 0.363
Te 0.704 0.704 0.637
Se 0.129 0.129 0.863
Se 0.871 0.871 0.137
S 0.441 0.441 0.814
S 0.559 0.559 0.186



Record 6
A plane-wave DFT calculation with PBE was carried out for Pm8Te4SeS3 after structural relaxation.

Computed properties:
- D(E_F): 0.34 states/eV/atom
- Calculated density: 6.9 g/cm3
- Spin magnetization: 0.0 μB/cell
- Formation energy without anion corrections: -165 kJ/mol of atoms
- Raw total energy: -0.431 Ry per atom

Cell: 8.633 8.633 8.633 Å, 58.78 58.78 58.78°
Fractional coordinates of all 16 atoms:
Pm 0.227 0.741 0.741
Pm 0.235 0.235 0.235
Pm 0.259 0.259 0.773
Pm 0.259 0.773 0.259
Pm 0.741 0.227 0.741
Pm 0.741 0.741 0.227
Pm 0.765 0.765 0.765
Pm 0.773 0.259 0.259
Te 0.000 0.000 0.000
Te 0.000 0.500 0.500
Te 0.500 0.000 0.500
Te 0.500 0.500 0.000
Se 0.500 0.500 0.500
S 0.000 0.000 0.500
S 0.000 0.500 0.000
S 0.500 0.000 0.000



Record 7
A plane-wave DFT calculation with PBE was carried out for Pm4Te2SeS after structural relaxation.

Computed properties:
- D(E_F): 0.41 states/eV/atom
- Calculated density: 7.0 g/cm3
- Spin magnetization: 0.0 μB/cell
- Formation energy without anion corrections: -162 kJ/mol of atoms
- Raw total energy: -0.426 Ry per atom

Cell: 7.426 4.238 7.536 Å, 90.00 108.85 90.00°
Fractional coordinates of all 8 atoms:
Pm 0.226 0.000 0.209
Pm 0.250 0.500 0.787
Pm 0.750 0.500 0.213
Pm 0.774 0.000 0.791
Te 0.000 0.000 0.500
Te 0.500 0.500 0.500
Se 0.500 0.000 0.000
S 0.000 0.500 0.000



Record 8
A plane-wave DFT calculation with PBE was carried out for Pm4TeSeS2 after structural relaxation.

Computed properties:
- D(E_F): 0.55 states/eV/atom
- Calculated density: 6.7 g/cm3
- Spin magnetization: 0.0 μB/cell
- Formation energy without anion corrections: -167 kJ/mol of atoms
- Raw total energy: -0.438 Ry per atom

Cell: 5.943 5.943 11.879 Å, 90.00 90.00 90.00°
Fractional coordinates of all 16 atoms:
Pm 0.000 0.000 0.242
Pm 0.000 0.000 0.758
Pm 0.000 0.500 0.000
Pm 0.000 0.500 0.500
Pm 0.500 0.000 0.000
Pm 0.500 0.000 0.500
Pm 0.500 0.500 0.258
Pm 0.500 0.500 0.742
Te 0.000 0.000 0.500
Te 0.500 0.500 0.000
Se 0.000 0.000 0.000
Se 0.500 0.500 0.500
S 0.000 0.500 0.250
S 0.000 0.500 0.750
S 0.500 0.000 0.250
S 0.500 0.000 0.750